*i*
The following is a DFT calculation (PBE+U) of crystalline LiFePO4 at its relaxed geometry.

Computed properties:
Crystal system: monoclinic

abc: 7.805 5.257 8.838
angles: 90.00 98.07 90.00
Positions (direct):
Li 0.013 0.000 0.427
Li 0.469 0.560 0.823
Li 0.531 0.060 0.177
Li 0.987 0.500 0.573
Fe 0.205 0.580 0.100
Fe 0.374 0.014 0.601
Fe 0.626 0.514 0.399
Fe 0.795 0.080 0.900
P 0.236 0.076 0.925
P 0.290 0.503 0.471
P 0.710 0.003 0.529
P 0.764 0.576 0.075
O 0.041 0.065 0.865
O 0.178 0.267 0.498
O 0.183 0.742 0.499
O 0.280 0.954 0.087
O 0.297 0.362 0.938
O 0.341 0.928 0.817
O 0.351 0.499 0.311
O 0.458 0.493 0.590
O 0.542 0.993 0.410
O 0.649 0.999 0.689
O 0.659 0.428 0.183
O 0.703 0.862 0.062
O 0.720 0.454 0.913
O 0.817 0.242 0.501
O 0.822 0.767 0.502
O 0.959 0.565 0.135



*ii*
The following is a DFT calculation (PBE+U) of crystalline LiFePO4 at its relaxed geometry.

Computed properties:
Crystal system: orthorhombic

abc: 8.338 9.011 5.219
angles: 90.00 90.00 90.00
Positions (direct):
Li 0.074 0.075 0.000
Li 0.426 0.575 0.500
Li 0.574 0.425 0.000
Li 0.926 0.925 0.500
Fe 0.155 0.533 0.147
Fe 0.345 0.033 0.647
Fe 0.655 0.967 0.147
Fe 0.845 0.467 0.647
P 0.232 0.372 0.707
P 0.268 0.872 0.207
P 0.732 0.128 0.707
P 0.768 0.628 0.207
O 0.072 0.446 0.808
O 0.133 0.958 0.349
O 0.222 0.206 0.784
O 0.245 0.893 0.917
O 0.255 0.393 0.417
O 0.278 0.706 0.284
O 0.367 0.458 0.849
O 0.428 0.946 0.308
O 0.572 0.054 0.808
O 0.633 0.542 0.349
O 0.722 0.294 0.784
O 0.745 0.607 0.917
O 0.755 0.107 0.417
O 0.778 0.794 0.284
O 0.867 0.042 0.849
O 0.928 0.554 0.308



Which is most stable, and by how much? *ii*, by 0.011 eV/atom.